{"formula": "Er2CoPt9", "functional": "PBE-GGA", "state": "relaxed", "lattice": [[4.0391, 0.0000, 0.0000], [0.0000, 4.0391, 0.0000], [0.0000, 0.0000, 12.0846]], "species": ["Pt", "Pt", "Pt", "Pt", "Pt", "Pt", "Pt", "Pt", "Pt", "Co", "Er", "Er"], "frac_coords": [[0.5000, 0.0000, 0.1531], [0.5000, 0.0000, 0.8469], [0.5000, 0.5000, 0.0000], [0.0000, 0.5000, 0.1531], [0.5000, 0.5000, 0.6729], [0.5000, 0.0000, 0.5000], [0.0000, 0.5000, 0.8469], [0.0000, 0.5000, 0.5000], [0.5000, 0.5000, 0.3271], [0.0000, 0.0000, 0.0000], [0.0000, 0.0000, 0.3284], [0.0000, 0.0000, 0.6716]], "total_magnetization_mub_per_fu": 3.8, "e_tot_ev_per_atom": -6.59, "e_form_mev_per_atom": -707, "vol_a3_per_atom": 16.4}

***

{"formula": "Er3CoPt", "functional": "PBE-GGA", "state": "relaxed", "lattice": [[-0.9721, 0.5869, -3.8246], [3.7789, -5.2220, -1.7617], [-6.8106, -5.2412, 0.9268]], "species": ["Er", "Er", "Er", "Er", "Er", "Er", "Pt", "Pt", "Co", "Co"], "frac_coords": [[0.7500, 0.5081, 0.6615], [0.2500, 0.2500, 0.9385], [0.7500, 0.9919, 0.6615], [0.2500, 0.0081, 0.3385], [0.7500, 0.7500, 0.0615], [0.2500, 0.4919, 0.3385], [0.7500, 0.2500, 0.1646], [0.2500, 0.7500, 0.8354], [0.2500, 0.2500, 0.6108], [0.7500, 0.7500, 0.3892]], "total_magnetization_mub_per_fu": 0.0, "e_tot_ev_per_atom": -5.95, "e_form_mev_per_atom": -586, "vol_a3_per_atom": 23.0}

***

{"formula": "Er12Co5Pt3", "functional": "PBE-GGA", "state": "relaxed", "lattice": [[-7.7552, -6.5712, -9.2616], [12.1425, -6.3522, 1.1453], [-6.3726, -0.0613, 12.1855]], "species": ["Er", "Er", "Er", "Er", "Er", "Er", "Er", "Er", "Er", "Er", "Er", "Er", "Er", "Er", "Er", "Er", "Er", "Er", "Er", "Er", "Er", "Er", "Er", "Er", "Er", "Er", "Er", "Er", "Er", "Er", "Er", "Er", "Er", "Er", "Er", "Er", "Er", "Er", "Er", "Er", "Er", "Er", "Er", "Er", "Er", "Er", "Er", "Er", "Pt", "Pt", "Pt", "Pt", "Pt", "Pt", "Pt", "Pt", "Pt", "Pt", "Pt", "Pt", "Co", "Co", "Co", "Co", "Co", "Co", "Co", "Co", "Co", "Co", "Co", "Co", "Co", "Co", "Co", "Co", "Co", "Co", "Co", "Co"], "frac_coords": [[0.3240, 0.7879, 0.4110], [0.8769, 0.5890, 0.9129], [0.1760, 0.0890, 0.7121], [0.5361, 0.2121, 0.1231], [0.6760, 0.4639, 0.5871], [0.4110, 0.2879, 0.3240], [0.2879, 0.8769, 0.9639], [0.5890, 0.8769, 0.4129], [0.5890, 0.7121, 0.6760], [0.7879, 0.4639, 0.3769], [0.8240, 0.9129, 0.0361], [0.0871, 0.9110, 0.1231], [0.9110, 0.8240, 0.7879], [0.9639, 0.3769, 0.2879], [0.5871, 0.6231, 0.4110], [0.6760, 0.2121, 0.5890], [0.0361, 0.4129, 0.8240], [0.0890, 0.9129, 0.3769], [0.9110, 0.0871, 0.6231], [0.1760, 0.0871, 0.9639], [0.9129, 0.0890, 0.8769], [0.2121, 0.5361, 0.6231], [0.7121, 0.5890, 0.1760], [0.0361, 0.6231, 0.7121], [0.6231, 0.5871, 0.9110], [0.3769, 0.9639, 0.7879], [0.0890, 0.1760, 0.2121], [0.7879, 0.3240, 0.9110], [0.5871, 0.9639, 0.6760], [0.3769, 0.4129, 0.0890], [0.9639, 0.5871, 0.1760], [0.6231, 0.0361, 0.2121], [0.1231, 0.4110, 0.0871], [0.9129, 0.8240, 0.5361], [0.5361, 0.3240, 0.9129], [0.3240, 0.5361, 0.4129], [0.8769, 0.2879, 0.4639], [0.4639, 0.6760, 0.0871], [0.4110, 0.1231, 0.5871], [0.0871, 0.1760, 0.4639], [0.4129, 0.0361, 0.3240], [0.7121, 0.1231, 0.0361], [0.2121, 0.6760, 0.0890], [0.4129, 0.3769, 0.5890], [0.2879, 0.4110, 0.8240], [0.4639, 0.7879, 0.8769], [0.1231, 0.7121, 0.5361], [0.8240, 0.9110, 0.2879], [0.2500, 0.6250, 0.8750], [0.6250, 0.3750, 0.7500], [0.2500, 0.1250, 0.3750], [0.8750, 0.7500, 0.1250], [0.3750, 0.6250, 0.2500], [0.8750, 0.1250, 0.2500], [0.3750, 0.7500, 0.6250], [0.1250, 0.2500, 0.8750], [0.7500, 0.8750, 0.6250], [0.7500, 0.3750, 0.1250], [0.6250, 0.2500, 0.3750], [0.1250, 0.8750, 0.7500], [0.1250, 0.3750, 0.2500], [0.7500, 0.1250, 0.8750], [0.5000, 0.5000, 0.5000], [0.8750, 0.6250, 0.7500], [0.2500, 0.8750, 0.1250], [0.6250, 0.8750, 0.2500], [0.0000, 0.0000, 0.0000], [0.1250, 0.7500, 0.3750], [0.8750, 0.2500, 0.6250], [0.7500, 0.6250, 0.3750], [0.0000, 0.0000, 0.5000], [0.2500, 0.3750, 0.6250], [0.5000, 0.0000, 0.0000], [0.5000, 0.0000, 0.5000], [0.6250, 0.7500, 0.8750], [0.0000, 0.5000, 0.0000], [0.3750, 0.1250, 0.7500], [0.5000, 0.5000, 0.0000], [0.0000, 0.5000, 0.5000], [0.3750, 0.2500, 0.1250]], "total_magnetization_mub_per_fu": 0.0, "e_tot_ev_per_atom": -5.61, "e_form_mev_per_atom": -190, "vol_a3_per_atom": 25.0}

***

Q: Number 2 is which compound?
A: Er3CoPt